(1)
A plane-wave DFT calculation with GGA-PBE was carried out for a geometry-optimized CdOs2W structure.

Total energy: -8.7335 eV per atom
Total magnetic moment: 0.0000 μB per atom
Formation enthalpy at 0 K: 0.348 eV/atom
D(E_F): 0.97 states/eV/atom

Lattice parameters (Å, degrees): 2.8727 2.8727 7.8762 90.00 90.00 90.00
Fractional coordinates of all 4 atoms:
Cd: 0.0000 0.0000 0.0000
Os: 0.5000 0.5000 0.2728
Os: 0.5000 0.5000 0.7272
W: 0.0000 0.0000 0.5000

***

(2)
A plane-wave DFT calculation with GGA-PBE was carried out for a geometry-optimized CdOsW2 structure.

Total energy: -9.1681 eV per atom
Total magnetic moment: 0.0000 μB per atom
Formation enthalpy at 0 K: 0.345 eV/atom
D(E_F): 0.81 states/eV/atom

Lattice parameters (Å, degrees): 2.8433 2.8433 8.2317 90.00 90.00 90.00
Fractional coordinates of all 4 atoms:
Cd: 0.0000 0.0000 0.0000
Os: 0.0000 0.0000 0.5000
W: 0.5000 0.5000 0.2760
W: 0.5000 0.5000 0.7240

***

(3)
A plane-wave DFT calculation with GGA-PBE was carried out for a geometry-optimized Cd4OsW structure.

Total energy: -3.6189 eV per atom
Total magnetic moment: 0.3007 μB per atom
Formation enthalpy at 0 K: 1.022 eV/atom
D(E_F): 0.92 states/eV/atom

Lattice parameters (Å, degrees): 5.4014 5.4014 5.4014 60.00 60.00 60.00
Fractional coordinates of all 6 atoms:
Cd: 0.1250 0.1250 0.1250
Cd: 0.1250 0.1250 0.6251
Cd: 0.1250 0.6251 0.1250
Cd: 0.6251 0.1250 0.1250
Os: 0.7500 0.7500 0.7500
W: 0.5000 0.5000 0.5000

***

(4)
A plane-wave DFT calculation with GGA-PBE was carried out for a geometry-optimized CdOsW2 structure.

Total energy: -8.8872 eV per atom
Total magnetic moment: 0.0002 μB per atom
Formation enthalpy at 0 K: 0.626 eV/atom
D(E_F): 1.28 states/eV/atom

Lattice parameters (Å, degrees): 3.9209 3.9209 8.4883 90.00 90.00 90.00
Fractional coordinates of all 8 atoms:
Cd: 0.0000 0.0000 0.0000
Cd: 0.5000 0.5000 0.5000
Os: 0.0000 0.0000 0.5000
Os: 0.5000 0.5000 0.0000
W: 0.0000 0.5000 0.2500
W: 0.0000 0.5000 0.7500
W: 0.5000 0.0000 0.2500
W: 0.5000 0.0000 0.7500

***

(5)
A plane-wave DFT calculation with GGA-PBE was carried out for a geometry-optimized Cd2OsW structure.

Total energy: -5.7430 eV per atom
Total magnetic moment: 0.0000 μB per atom
Energy above the most stable polymorph in this dataset: 511 meV/atom
Formation enthalpy at 0 K: 0.760 eV/atom
D(E_F): 1.01 states/eV/atom

Lattice parameters (Å, degrees): 3.8763 3.8763 9.3543 90.00 90.00 90.00
Fractional coordinates of all 8 atoms:
Cd: 0.0000 0.5000 0.2500
Cd: 0.0000 0.5000 0.7500
Cd: 0.5000 0.0000 0.2500
Cd: 0.5000 0.0000 0.7500
Os: 0.0000 0.0000 0.0000
Os: 0.5000 0.5000 0.5000
W: 0.0000 0.0000 0.5000
W: 0.5000 0.5000 0.0000

***

(6)
A plane-wave DFT calculation with GGA-PBE was carried out for a geometry-optimized CdOsW2 structure.

Total energy: -9.0829 eV per atom
Total magnetic moment: 0.0000 μB per atom
Formation enthalpy at 0 K: 0.430 eV/atom
D(E_F): 0.64 states/eV/atom

Lattice parameters (Å, degrees): 2.8226 4.1086 5.6782 90.00 90.10 90.00
Fractional coordinates of all 4 atoms:
Cd: 0.0000 0.0000 0.0000
Os: 0.0000 0.0000 0.5000
W: 0.4997 0.5000 0.2751
W: 0.5003 0.5000 0.7249

***

(7)
A plane-wave DFT calculation with GGA-PBE was carried out for a geometry-optimized CdOsW structure.

Total energy: -8.0069 eV per atom
Total magnetic moment: 0.0000 μB per atom
Energy above the most stable polymorph in this dataset: 31 meV/atom
Formation enthalpy at 0 K: 0.359 eV/atom
D(E_F): 0.54 states/eV/atom

Lattice parameters (Å, degrees): 3.0062 3.0062 11.5706 90.00 90.00 90.00
Fractional coordinates of all 6 atoms:
Cd: 0.0000 0.0000 0.0000
Cd: 0.5000 0.5000 0.5000
Os: 0.0000 0.0000 0.6842
Os: 0.5000 0.5000 0.1842
W: 0.0000 0.0000 0.3090
W: 0.5000 0.5000 0.8090

***

(8)
A plane-wave DFT calculation with GGA-PBE was carried out for a geometry-optimized Cd2OsW structure.

Total energy: -5.4162 eV per atom
Total magnetic moment: 0.2990 μB per atom
Energy above the most stable polymorph in this dataset: 838 meV/atom
Formation enthalpy at 0 K: 1.087 eV/atom
D(E_F): 0.98 states/eV/atom

Lattice parameters (Å, degrees): 4.9822 4.9822 2.8385 90.00 90.00 90.00
Fractional coordinates of all 4 atoms:
Cd: 0.0000 0.5000 0.0000
Cd: 0.5000 0.0000 0.0000
Os: 0.0000 0.0000 0.5000
W: 0.5000 0.5000 0.5000

***

(9)
A plane-wave DFT calculation with GGA-PBE was carried out for a geometry-optimized CdOs2W structure.

Total energy: -8.7097 eV per atom
Total magnetic moment: 0.0000 μB per atom
Formation enthalpy at 0 K: 0.372 eV/atom
D(E_F): 1.12 states/eV/atom

Lattice parameters (Å, degrees): 2.8058 2.8058 28.3427 90.00 90.00 120.00
Fractional coordinates of all 12 atoms:
Cd: 0.0000 0.0000 0.0000
Cd: 0.3333 0.6667 0.6667
Cd: 0.6667 0.3333 0.3333
Os: 0.0000 0.0000 0.4959
Os: 0.0000 0.0000 0.7548
Os: 0.3333 0.6667 0.1626
Os: 0.3333 0.6667 0.4215
Os: 0.6667 0.3333 0.0882
Os: 0.6667 0.3333 0.8292
W: 0.0000 0.0000 0.2416
W: 0.3333 0.6667 0.9083
W: 0.6667 0.3333 0.5749

***

(10)
A plane-wave DFT calculation with GGA-PBE was carried out for a geometry-optimized CdOs2W structure.

Total energy: -8.4653 eV per atom
Total magnetic moment: 0.0000 μB per atom
Formation enthalpy at 0 K: 0.617 eV/atom
D(E_F): 0.73 states/eV/atom

Lattice parameters (Å, degrees): 3.8726 3.8726 8.4573 90.00 90.00 90.00
Fractional coordinates of all 8 atoms:
Cd: 0.0000 0.0000 0.0000
Cd: 0.5000 0.5000 0.5000
Os: 0.0000 0.0000 0.5000
Os: 0.0000 0.5000 0.7500
Os: 0.5000 0.0000 0.2500
Os: 0.5000 0.5000 0.0000
W: 0.0000 0.5000 0.2500
W: 0.5000 0.0000 0.7500

***

(11)
A plane-wave DFT calculation with GGA-PBE was carried out for a geometry-optimized CdOsW structure.

Total energy: -7.3224 eV per atom
Total magnetic moment: 0.0002 μB per atom
Energy above the most stable polymorph in this dataset: 716 meV/atom
Formation enthalpy at 0 K: 1.044 eV/atom
D(E_F): 1.21 states/eV/atom

Lattice parameters (Å, degrees): 6.1686 6.1686 6.1686 90.00 90.00 90.00
Fractional coordinates of all 12 atoms:
Cd: 0.0000 0.0000 0.0000
Cd: 0.0000 0.5000 0.5000
Cd: 0.5000 0.0000 0.5000
Cd: 0.5000 0.5000 0.0000
Os: 0.0000 0.0000 0.5000
Os: 0.0000 0.5000 0.0000
Os: 0.5000 0.0000 0.0000
Os: 0.5000 0.5000 0.5000
W: 0.2500 0.2500 0.2500
W: 0.2500 0.7500 0.7500
W: 0.7500 0.2500 0.7500
W: 0.7500 0.7500 0.2500

***

(12)
A plane-wave DFT calculation with GGA-PBE was carried out for a geometry-optimized CdOsW2 structure.

Total energy: -8.9902 eV per atom
Total magnetic moment: 0.0000 μB per atom
Formation enthalpy at 0 K: 0.523 eV/atom
D(E_F): 0.84 states/eV/atom

Lattice parameters (Å, degrees): 3.1328 4.5233 9.3170 90.00 90.00 90.00
Fractional coordinates of all 8 atoms:
Cd: 0.0000 0.0000 0.0000
Cd: 0.5000 0.5000 0.5000
Os: 0.0000 0.0000 0.5000
Os: 0.5000 0.5000 0.0000
W: 0.0000 0.5000 0.2366
W: 0.0000 0.5000 0.7634
W: 0.5000 0.0000 0.2634
W: 0.5000 0.0000 0.7366

***

Please write out number 10 again, unchanged.
A plane-wave DFT calculation with GGA-PBE was carried out for a geometry-optimized CdOs2W structure.

Total energy: -8.4653 eV per atom
Total magnetic moment: 0.0000 μB per atom
Formation enthalpy at 0 K: 0.617 eV/atom
D(E_F): 0.73 states/eV/atom

Lattice parameters (Å, degrees): 3.8726 3.8726 8.4573 90.00 90.00 90.00
Fractional coordinates of all 8 atoms:
Cd: 0.0000 0.0000 0.0000
Cd: 0.5000 0.5000 0.5000
Os: 0.0000 0.0000 0.5000
Os: 0.0000 0.5000 0.7500
Os: 0.5000 0.0000 0.2500
Os: 0.5000 0.5000 0.0000
W: 0.0000 0.5000 0.2500
W: 0.5000 0.0000 0.7500